# 1
A PBEsol-optimized structure of Tb6Ge3Se14, computed with meta-GGA SCAN.

It has space group P3 (No. 143), with a = 10.2542 Å, b = 10.2542 Å, c = 5.9372 Å, α = 90.00°, β = 90.00° and γ = 120.00°. The inequivalent atoms are Tb at (0.0246, 0.4652, 0.0000), Tb at (0.3080, 0.2006, 0.5044), Ge at (0.0000, 0.0000, 0.0873), Ge at (0.3333, 0.6667, 0.5811), Ge at (0.6667, 0.3333, 0.2306), Se at (0.0000, 0.0000, 0.6947), Se at (0.0879, 0.2413, 0.2540), Se at (0.1800, 0.7547, 0.7494), Se at (0.3333, 0.6667, 0.1891), Se at (0.4045, 0.2360, 0.9800) and Se at (0.5056, 0.0726, 0.4747).

The calculation puts the volume at 23.51 Å³/atom. As for the uncorrected formation energy: -1.449 eV/atom. The value obtained for the total magnetization is 0.0 Bohr magnetons per cell. The total DFT energy (no corrections) comes out at -28.36 eV/atom.



# 2
A PBEsol-optimized structure of TaAl2W, computed with meta-GGA SCAN.

It has space group Pmmm (No. 47), with a = 2.751 Å, b = 4.140 Å, c = 5.515 Å, α = 90.00°, β = 90.00° and γ = 90.00°. The inequivalent atoms are Ta at (0.000, 0.000, 0.000), Al at (0.500, 0.500, 0.257) and W at (0.000, 0.000, 0.500).

As for the energy above the most stable polymorph in this dataset: 73 meV per atom. The calculation puts the volume at 15.70 Å³/atom. As for the density of states at the Fermi level: 1.978 states/eV/f.u. The value obtained for the total magnetization is 0.0 Bohr magnetons per cell. The total DFT energy (no corrections) comes out at -38.06 eV/atom.